(1)
A plane-wave DFT calculation with PBE was carried out for a relaxed structure of CdCo2As.

a = 2.8955 Å, b = 2.8955 Å, c = 7.5610 Å
α = 90.00°, β = 90.00°, γ = 89.99°
Atoms (fractional coordinates):
As 0.0000 0.0000 0.4184
Co 0.5000 0.5000 0.2312
Co 0.0000 0.0000 0.0480
Cd 0.5000 0.5000 0.8024

## Properties
DOS at the Fermi energy (states/eV per atom): 0.79
Energy relative to the lowest polymorph listed for this composition (meV/atom): 54
E (eV for the cell shown): -19.236
Energy of formation (eV/f.u.): 0.54


(2)
A plane-wave DFT calculation with PBE was carried out for a relaxed structure of ZnFeRh.

a = 2.7053 Å, b = 2.7065 Å, c = 12.6836 Å
α = 90.00°, β = 90.00°, γ = 119.99°
Atoms (fractional coordinates):
Rh 0.7784 0.5567 0.8345
Rh 0.7784 0.5567 0.1655
Zn 0.1105 0.2210 0.6640
Zn 0.1105 0.2210 0.3360
Fe 0.4435 0.8870 0.5000
Fe 0.4453 0.8906 0.0000

## Properties
DOS at the Fermi energy (states/eV per atom): 0.79
Energy relative to the lowest polymorph listed for this composition (meV/atom): 83
E (eV for the cell shown): -34.540
Energy of formation (eV/f.u.): -0.18


(3)
A plane-wave DFT calculation with PBE was carried out for a relaxed structure of LiDyCuPt.

a = 4.6780 Å, b = 4.6780 Å, c = 4.6780 Å
α = 60.00°, β = 60.00°, γ = 60.00°
Atoms (fractional coordinates):
Dy 0.0000 0.0000 0.0000
Pt 0.2500 0.2500 0.2500
Cu 0.7500 0.7500 0.7500
Li 0.5000 0.5000 0.5000

## Properties
DOS at the Fermi energy (states/eV per atom): 0.71
E (eV for the cell shown): -18.832
Energy of formation (eV/f.u.): -2.18


(4)
A plane-wave DFT calculation with PBE was carried out for a relaxed structure of TbMn9Fe3.

a = 4.6842 Å, b = 6.3505 Å, c = 6.3120 Å
α = 82.00°, β = 68.22°, γ = 67.97°
Atoms (fractional coordinates):
Mn 0.5020 0.7719 0.2273
Mn 0.2707 0.2281 0.2273
Mn 0.4980 0.2281 0.7727
Mn 0.3609 0.6397 0.6382
Mn 0.9991 0.6397 0.3618
Mn 0.0000 0.5000 0.0000
Mn 0.6391 0.3603 0.3618
Mn 0.0009 0.3603 0.6382
Mn 0.7293 0.7719 0.7727
Fe 0.0000 0.0000 0.5000
Fe 0.5000 0.0000 0.5000
Fe 0.5000 0.5000 0.0000
Tb 0.0000 0.0000 0.0000

## Properties
DOS at the Fermi energy (states/eV per atom): 1.33
E (eV for the cell shown): -112.309
Energy of formation (eV/f.u.): 0.24


(5)
A plane-wave DFT calculation with PBE was carried out for a relaxed structure of AcDyPdRu.

a = 5.0897 Å, b = 5.0897 Å, c = 5.0897 Å
α = 60.00°, β = 60.00°, γ = 60.00°
Atoms (fractional coordinates):
Ru 0.2500 0.2500 0.2500
Ac 0.0000 0.0000 0.0000
Dy 0.5000 0.5000 0.5000
Pd 0.7500 0.7500 0.7500

## Properties
DOS at the Fermi energy (states/eV per atom): 0.92
E (eV for the cell shown): -24.873
Energy of formation (eV/f.u.): -1.69


(6)
A plane-wave DFT calculation with PBE was carried out for a relaxed structure of Pu3ZnPd2.

a = 5.5267 Å, b = 6.7977 Å, c = 6.7977 Å
α = 98.79°, β = 90.00°, γ = 90.00°
Atoms (fractional coordinates):
Pu 0.7500 0.5921 0.0785
Pu 0.2500 0.0785 0.5921
Pu 0.2500 0.4079 0.9215
Pu 0.7500 0.9215 0.4079
Pu 0.2500 0.9342 0.0658
Pu 0.7500 0.0658 0.9342
Zn 0.2500 0.6432 0.3568
Zn 0.7500 0.3568 0.6432
Pd 0.0000 0.6969 0.6969
Pd 0.5000 0.3031 0.3031
Pd 0.5000 0.6969 0.6969
Pd 0.0000 0.3031 0.3031

## Properties
DOS at the Fermi energy (states/eV per atom): 3.27
E (eV for the cell shown): -112.505
Energy of formation (eV/f.u.): -1.60


(7)
A plane-wave DFT calculation with PBE was carried out for a relaxed structure of AcYTm2S6.

a = 7.0308 Å, b = 7.0309 Å, c = 7.3622 Å
α = 61.48°, β = 61.48°, γ = 60.00°
Atoms (fractional coordinates):
S 0.7302 0.1607 0.7429
S 0.3661 0.7302 0.7429
S 0.1607 0.3662 0.7429
S 0.9059 0.6208 0.2407
S 0.6208 0.2327 0.2406
S 0.2327 0.9058 0.2406
Tm 0.0115 0.0116 0.9653
Tm 0.5186 0.5186 0.4442
Ac 0.7998 0.7998 0.6006
Y 0.3152 0.3152 0.0545

## Properties
DOS at the Fermi energy (states/eV per atom): 0.00
E (eV for the cell shown): -65.071


(8)
A plane-wave DFT calculation with PBE was carried out for a relaxed structure of DyH4Ru.

a = 3.7434 Å, b = 3.7434 Å, c = 8.3518 Å
α = 90.00°, β = 90.00°, γ = 69.39°
Atoms (fractional coordinates):
H 0.6460 0.6457 0.4533
H 0.6460 0.6457 0.0467
H 0.3535 0.8588 0.7500
H 0.1412 0.6465 0.2500
H 0.8589 0.3543 0.7500
H 0.6457 0.1411 0.2500
H 0.3543 0.3540 0.9533
H 0.3543 0.3540 0.5467
Dy 0.0001 0.9999 0.0000
Dy 0.0001 0.9999 0.5000
Ru 0.3515 0.3514 0.7500
Ru 0.6486 0.6485 0.2500

## Properties
DOS at the Fermi energy (states/eV per atom): 0.21
Energy relative to the lowest polymorph listed for this composition (meV/atom): 5
E (eV for the cell shown): -59.250


(9)
A plane-wave DFT calculation with PBE was carried out for a relaxed structure of Pm2NdZn9.

a = 5.5193 Å, b = 5.5193 Å, c = 9.2921 Å
α = 72.72°, β = 72.72°, γ = 60.00°
Atoms (fractional coordinates):
Zn 0.4162 0.4162 0.2447
Zn 0.0771 0.5838 0.7553
Zn 0.5838 0.0771 0.7553
Zn 0.9229 0.4162 0.2447
Zn 0.3349 0.3349 0.9953
Zn 0.5000 0.5000 0.5000
Zn 0.6651 0.6651 0.0047
Zn 0.4162 0.9229 0.2447
Zn 0.5838 0.5838 0.7553
Nd 0.0000 0.0000 0.0000
Pm 0.1409 0.1409 0.5772
Pm 0.8591 0.8591 0.4228

## Properties
DOS at the Fermi energy (states/eV per atom): 0.60
E (eV for the cell shown): -29.410
Energy of formation (eV/f.u.): -3.68


(10)
A plane-wave DFT calculation with PBE was carried out for a relaxed structure of BaH3Rh.

a = 19.4853 Å, b = 5.4211 Å, c = 7.4272 Å
α = 90.00°, β = 160.45°, γ = 90.00°
Atoms (fractional coordinates):
H 0.5525 0.9045 0.0505
H 0.6769 0.7505 0.6777
H 0.9475 0.4045 0.4495
H 0.8231 0.2505 0.8223
H 0.6883 0.3843 0.1882
H 0.3117 0.6157 0.8118
H 0.3231 0.2495 0.3223
H 0.8117 0.8843 0.3118
H 0.1883 0.1157 0.6882
H 0.0525 0.5955 0.5505
H 0.4475 0.0955 0.9495
H 0.1769 0.7495 0.1777
Ba 0.5967 0.2501 0.5972
Ba 0.4033 0.7499 0.4028
Ba 0.9033 0.7501 0.9028
Ba 0.0967 0.2499 0.0972
Rh 0.4282 0.7697 0.9279
Rh 0.9282 0.7303 0.4279
Rh 0.5718 0.2303 0.0721
Rh 0.0718 0.2697 0.5721

## Properties
DOS at the Fermi energy (states/eV per atom): 0.24
E (eV for the cell shown): -84.404


(11)
A plane-wave DFT calculation with PBE was carried out for a relaxed structure of K2PPb.

a = 3.8414 Å, b = 3.8414 Å, c = 10.1063 Å
α = 90.00°, β = 90.00°, γ = 90.11°
Atoms (fractional coordinates):
K 0.0000 0.0000 0.9228
K 0.5000 0.5000 0.3403
P 0.0000 0.0000 0.5619
Pb 0.5000 0.5000 0.6749

## Properties
DOS at the Fermi energy (states/eV per atom): 0.86
Energy relative to the lowest polymorph listed for this composition (meV/atom): 197
E (eV for the cell shown): -11.463
Energy of formation (eV/f.u.): -0.15


(12)
A plane-wave DFT calculation with PBE was carried out for a relaxed structure of FeSn3Mo.

a = 5.2704 Å, b = 5.2704 Å, c = 5.2704 Å
α = 90.00°, β = 90.00°, γ = 90.00°
Atoms (fractional coordinates):
Mo 0.0000 0.0000 0.0000
Sn 0.0000 0.0000 0.5000
Sn 0.0000 0.5000 0.0000
Sn 0.5000 0.0000 0.0000
Fe 0.5000 0.5000 0.5000

## Properties
DOS at the Fermi energy (states/eV per atom): 0.72
Energy relative to the lowest polymorph listed for this composition (meV/atom): 45
E (eV for the cell shown): -26.894
Energy of formation (eV/f.u.): 4.41


(13)
A plane-wave DFT calculation with PBE was carried out for a relaxed structure of NbV2Te.

a = 3.9690 Å, b = 3.9690 Å, c = 9.7412 Å
α = 78.25°, β = 78.25°, γ = 90.00°
Atoms (fractional coordinates):
V 0.8750 0.8968 0.7500
V 0.6468 0.1250 0.2500
V 0.1032 0.6250 0.2500
V 0.3750 0.3532 0.7500
Nb 0.5000 0.5000 0.0000
Nb 0.2500 0.7500 0.5000
Te 0.7500 0.2500 0.5000
Te 0.0000 0.0000 0.0000

## Properties
DOS at the Fermi energy (states/eV per atom): 0.90
E (eV for the cell shown): -58.675


(14)
A plane-wave DFT calculation with PBE was carried out for a relaxed structure of Cs6Au2SeI.

a = 9.3241 Å, b = 9.8037 Å, c = 13.2846 Å
α = 90.00°, β = 86.03°, γ = 90.00°
Atoms (fractional coordinates):
Au 0.5198 0.5700 0.7838
Au 0.0198 0.9300 0.2838
Au 0.9802 0.0700 0.7162
Au 0.4802 0.4300 0.2162
Cs 0.6826 0.3405 0.9575
Cs 0.6506 0.0919 0.2632
Cs 0.1506 0.4081 0.7632
Cs 0.3494 0.9081 0.7368
Cs 0.3174 0.6595 0.0425
Cs 0.8303 0.7891 0.8965
Cs 0.1826 0.1595 0.4575
Cs 0.3303 0.7109 0.3965
Cs 0.6697 0.2891 0.6035
Cs 0.8494 0.5919 0.2368
Cs 0.1697 0.2109 0.1035
Cs 0.8174 0.8405 0.5425
Se 0.0000 0.5000 0.0000
Se 0.5000 0.0000 0.5000
I 0.5000 0.0000 0.0000
I 0.0000 0.5000 0.5000

## Properties
DOS at the Fermi energy (states/eV per atom): 0.57
E (eV for the cell shown): -47.642


(15)
A plane-wave DFT calculation with PBE was carried out for a relaxed structure of CaPr2Ho.

a = 3.6381 Å, b = 8.8534 Å, c = 9.3388 Å
α = 96.20°, β = 90.00°, γ = 101.86°
Atoms (fractional coordinates):
Pr 0.2682 0.5364 0.6686
Pr 0.0411 0.0822 0.2355
Pr 0.9589 0.9178 0.7645
Pr 0.7318 0.4636 0.3314
Ho 0.4083 0.8165 0.4354
Ho 0.5917 0.1835 0.5646
Ca 0.3534 0.7069 0.0565
Ca 0.6466 0.2931 0.9435

## Properties
DOS at the Fermi energy (states/eV per atom): 1.17
Energy relative to the lowest polymorph listed for this composition (meV/atom): 6
E (eV for the cell shown): -31.995
Energy of formation (eV/f.u.): 0.14


(16)
A plane-wave DFT calculation with PBE was carried out for a relaxed structure of Li2Bi2I.

a = 8.1494 Å, b = 8.1494 Å, c = 4.4222 Å
α = 90.00°, β = 90.00°, γ = 90.00°
Atoms (fractional coordinates):
I 0.5000 0.5000 0.0000
I 0.0000 0.0000 0.0000
Li 0.3427 0.8427 0.0000
Li 0.6573 0.1573 0.0000
Li 0.1573 0.3427 0.0000
Li 0.8427 0.6573 0.0000
Bi 0.3772 0.1228 0.5000
Bi 0.8772 0.3772 0.5000
Bi 0.6228 0.8772 0.5000
Bi 0.1228 0.6228 0.5000

## Properties
DOS at the Fermi energy (states/eV per atom): 0.33
Energy relative to the lowest polymorph listed for this composition (meV/atom): 0
E (eV for the cell shown): -29.297


(17)
A plane-wave DFT calculation with PBE was carried out for a relaxed structure of Tb2CeHg.

a = 4.6968 Å, b = 4.8795 Å, c = 4.8795 Å
α = 90.00°, β = 90.00°, γ = 90.00°
Atoms (fractional coordinates):
Ce 0.5000 0.5000 0.5000
Hg 0.5000 0.0000 0.0000
Tb 0.0000 0.0000 0.5000
Tb 0.0000 0.5000 0.0000

## Properties
DOS at the Fermi energy (states/eV per atom): 1.98
Energy relative to the lowest polymorph listed for this composition (meV/atom): 87
E (eV for the cell shown): -15.945
Energy of formation (eV/f.u.): -0.45


(18)
A plane-wave DFT calculation with PBE was carried out for a relaxed structure of ZnSiAg2.

a = 5.0539 Å, b = 5.4678 Å, c = 2.8572 Å
α = 74.84°, β = 90.03°, γ = 117.53°
Atoms (fractional coordinates):
Ag 0.0000 0.0000 0.0000
Ag 0.5000 0.0000 0.5000
Si 0.0000 0.5000 0.5000
Zn 0.5000 0.5000 0.0000

## Properties
DOS at the Fermi energy (states/eV per atom): 0.21
Energy relative to the lowest polymorph listed for this composition (meV/atom): 72
E (eV for the cell shown): -11.598